Density functional theory data (PBE-GGA) for an optimized crystal structure of TbAgSnTe3.

Computed properties:
The crystal system is orthorhombic. The energy is -4.099 eV/atom. As for the total magnetic moment: 0.007 μB/cell.

Lattice parameters (Å, degrees): 12.428 4.512 12.609 90.00 90.00 90.00
Positions (direct):
Tb (0.023, 0.250, 0.190)
Tb (0.477, 0.750, 0.690)
Tb (0.523, 0.250, 0.310)
Tb (0.977, 0.750, 0.810)
Ag (0.236, 0.750, 0.295)
Ag (0.264, 0.250, 0.795)
Ag (0.736, 0.750, 0.205)
Ag (0.764, 0.250, 0.705)
Sn (0.188, 0.250, 0.484)
Sn (0.312, 0.750, 0.984)
Sn (0.688, 0.250, 0.016)
Sn (0.812, 0.750, 0.516)
Te (0.026, 0.750, 0.370)
Te (0.092, 0.250, 0.939)
Te (0.219, 0.750, 0.670)
Te (0.281, 0.250, 0.170)
Te (0.408, 0.750, 0.439)
Te (0.474, 0.250, 0.870)
Te (0.526, 0.750, 0.130)
Te (0.592, 0.250, 0.561)
Te (0.719, 0.750, 0.830)
Te (0.781, 0.250, 0.330)
Te (0.908, 0.750, 0.061)
Te (0.974, 0.250, 0.630)

***

Density functional theory data (PBE-GGA) for an optimized crystal structure of TbAgSnTe3.

Computed properties:
The crystal system is monoclinic. The energy is -4.133 eV/atom. As for the total magnetic moment: 0.002 μB/cell.

Lattice parameters (Å, degrees): 10.016 10.016 8.954 101.89 101.89 24.81
Positions (direct):
Tb (0.162, 0.162, 0.089)
Tb (0.838, 0.838, 0.911)
Ag (0.458, 0.458, 0.786)
Ag (0.542, 0.542, 0.214)
Sn (0.127, 0.127, 0.571)
Sn (0.873, 0.873, 0.429)
Te (0.000, 0.000, 0.000)
Te (0.313, 0.313, 0.657)
Te (0.326, 0.326, 0.153)
Te (0.500, 0.500, 0.500)
Te (0.674, 0.674, 0.847)
Te (0.687, 0.687, 0.343)

***

Density functional theory data (PBE-GGA) for an optimized crystal structure of TbAgSnTe3.

Computed properties:
The crystal system is orthorhombic. The energy is -4.146 eV/atom. As for the total magnetic moment: 0.001 μB/cell.

Lattice parameters (Å, degrees): 7.677 7.677 11.176 90.00 90.00 147.39
Positions (direct):
Tb (0.000, 0.000, 0.000)
Tb (0.000, 0.000, 0.500)
Ag (0.472, 0.528, 0.750)
Ag (0.528, 0.472, 0.250)
Sn (0.230, 0.770, 0.250)
Sn (0.770, 0.230, 0.750)
Te (0.097, 0.903, 0.750)
Te (0.352, 0.648, 0.556)
Te (0.352, 0.648, 0.944)
Te (0.648, 0.352, 0.056)
Te (0.648, 0.352, 0.444)
Te (0.903, 0.097, 0.250)

***

Density functional theory data (PBE-GGA) for an optimized crystal structure of TbAgSnTe3.

Computed properties:
The crystal system is orthorhombic. The energy is -4.114 eV/atom. As for the total magnetic moment: 0.000 μB/cell.

Lattice parameters (Å, degrees): 9.117 4.529 18.078 90.00 90.00 90.00
Positions (direct):
Tb (0.229, 0.250, 0.036)
Tb (0.271, 0.750, 0.536)
Tb (0.729, 0.250, 0.464)
Tb (0.771, 0.750, 0.964)
Ag (0.120, 0.250, 0.363)
Ag (0.380, 0.750, 0.863)
Ag (0.620, 0.250, 0.137)
Ag (0.880, 0.750, 0.637)
Sn (0.092, 0.250, 0.751)
Sn (0.408, 0.750, 0.251)
Sn (0.592, 0.250, 0.749)
Sn (0.908, 0.750, 0.249)
Te (0.035, 0.250, 0.585)
Te (0.114, 0.750, 0.938)
Te (0.192, 0.250, 0.211)
Te (0.308, 0.750, 0.711)
Te (0.386, 0.250, 0.438)
Te (0.465, 0.750, 0.085)
Te (0.535, 0.250, 0.915)
Te (0.614, 0.750, 0.562)
Te (0.692, 0.250, 0.289)
Te (0.808, 0.750, 0.789)
Te (0.886, 0.250, 0.062)
Te (0.965, 0.750, 0.415)

***

Density functional theory data (PBE-GGA) for an optimized crystal structure of TbAgSnTe3.

Computed properties:
The crystal system is orthorhombic. The energy is -4.150 eV/atom. As for the total magnetic moment: 0.013 μB/cell.

Lattice parameters (Å, degrees): 11.233 4.342 14.637 90.00 90.00 90.00
Positions (direct):
Tb (0.021, 0.250, 0.242)
Tb (0.479, 0.750, 0.742)
Tb (0.521, 0.250, 0.258)
Tb (0.979, 0.750, 0.758)
Ag (0.239, 0.250, 0.724)
Ag (0.261, 0.750, 0.224)
Ag (0.739, 0.250, 0.776)
Ag (0.761, 0.750, 0.276)
Sn (0.217, 0.750, 0.514)
Sn (0.283, 0.250, 0.014)
Sn (0.717, 0.750, 0.986)
Sn (0.783, 0.250, 0.486)
Te (0.037, 0.250, 0.607)
Te (0.077, 0.750, 0.098)
Te (0.234, 0.750, 0.848)
Te (0.266, 0.250, 0.348)
Te (0.423, 0.250, 0.598)
Te (0.463, 0.750, 0.107)
Te (0.537, 0.250, 0.893)
Te (0.577, 0.750, 0.402)
Te (0.734, 0.750, 0.652)
Te (0.766, 0.250, 0.152)
Te (0.923, 0.250, 0.902)
Te (0.963, 0.750, 0.393)

***

Density functional theory data (PBE-GGA) for an optimized crystal structure of TbAgSnTe3.

Computed properties:
The crystal system is monoclinic. The energy is -4.148 eV/atom. As for the total magnetic moment: 0.004 μB/cell.

Lattice parameters (Å, degrees): 8.279 4.340 10.642 90.00 106.23 90.00
Positions (direct):
Tb (0.200, 0.250, 0.170)
Tb (0.800, 0.750, 0.830)
Ag (0.412, 0.750, 0.411)
Ag (0.588, 0.250, 0.589)
Sn (0.233, 0.750, 0.702)
Sn (0.767, 0.250, 0.298)
Te (0.078, 0.250, 0.864)
Te (0.208, 0.250, 0.465)
Te (0.459, 0.750, 0.160)
Te (0.541, 0.250, 0.840)
Te (0.792, 0.750, 0.535)
Te (0.922, 0.750, 0.136)